LiFe2Cu | GGA-PBE | relaxed

abc: 2.426 4.308 4.549
angles: 90.00 97.71 90.00
Sites, in units of the cell vectors:
Li1 0.000 0.000 0.000
Fe1 0.226 0.500 0.749
Fe2 0.774 0.500 0.251
Cu1 0.500 0.000 0.500

Properties
Calculated total energy   -5.557 eV/atom
Energy of formation   0.1769 eV per atom
Space group   P2/m
Crystal system   monoclinic